No. 1
The following is a PBE-GGA calculation of a relaxed structure of Zr4Tc3Pt, from the Alexandria database.

Values from the calculation:
- Electronic total energy: -75.95 eV for the cell shown
- E_form: -4.619 eV per formula unit
- Crystal system: orthorhombic

Cell lengths 3.335, 4.680, 9.251 Å; angles 90.00, 90.00, 90.00 degrees
Atoms (fractional coordinates):
Pt (0.500, 0.500, 0.000)
Tc (0.500, 0.000, 0.246)
Tc (0.500, 0.500, 0.500)
Tc (0.500, 0.000, 0.754)
Zr (0.000, 0.000, 0.500)
Zr (0.000, 0.500, 0.743)
Zr (0.000, 0.000, 0.000)
Zr (0.000, 0.500, 0.257)



No. 2
The following is a PBE-GGA calculation of a relaxed structure of CdTeRh2, from the Alexandria database.

Values from the calculation:
- Electronic total energy: -36.23 eV for the cell shown
- Energy above the most stable polymorph in this dataset: 256.4 meV/atom
- Formation energy without anion corrections: 0.16 eV per atom
- Crystal system: tetragonal

Cell lengths 7.248, 7.248, 5.938 Å; angles 52.39, 52.39, 90.00 degrees
Atoms (fractional coordinates):
Te (0.000, 0.000, 0.000)
Te (0.750, 0.250, 0.500)
Rh (0.654, 0.125, 0.250)
Rh (0.096, 0.625, 0.250)
Rh (0.375, 0.346, 0.750)
Rh (0.875, 0.904, 0.750)
Cd (0.500, 0.500, 0.000)
Cd (0.250, 0.750, 0.500)



No. 3
The following is a PBE-GGA calculation of a relaxed structure of MgCuRu2C, from the Alexandria database.

Values from the calculation:
- Electronic total energy: -32.84 eV for the cell shown
- E_form: 0.623 eV per formula unit
- Crystal system: tetragonal

Cell lengths 4.064, 4.064, 3.940 Å; angles 90.00, 90.00, 90.00 degrees
Last column: magnetic moment on the atom in μB.
Atoms (fractional coordinates):
Ru (0.000, 0.500, 0.000)  0.27
Ru (0.500, 0.000, 0.000)  0.27
Mg (0.500, 0.500, 0.500)  0.00
C (0.000, 0.000, 0.000)  -0.01
Cu (0.000, 0.000, 0.500)  0.01



No. 4
The following is a PBE-GGA calculation of a relaxed structure of CeSm2B9, from the Alexandria database.

Values from the calculation:
- Electronic total energy: -77.43 eV for the cell shown
- E_form: -1.963 eV per formula unit
- Crystal system: trigonal

Cell lengths 4.456, 4.456, 9.880 Å; angles 76.97, 76.97, 60.00 degrees
Atoms (fractional coordinates):
Ce (0.000, 0.000, 0.000)
Sm (0.881, 0.881, 0.357)
Sm (0.119, 0.119, 0.643)
B (0.605, 0.605, 0.186)
B (0.395, 0.395, 0.814)
B (0.500, 0.500, 0.500)
B (0.394, 0.394, 0.182)
B (0.031, 0.394, 0.182)
B (0.394, 0.031, 0.182)
B (0.606, 0.606, 0.818)
B (0.606, 0.969, 0.818)
B (0.969, 0.606, 0.818)



No. 5
The following is a PBE-GGA calculation of a relaxed structure of Dy2ZnCd3, from the Alexandria database.

Values from the calculation:
- Electronic total energy: -15.09 eV for the cell shown
- Energy above the most stable polymorph in this dataset: 0.0 meV/atom
- E_form: -1.867 eV per formula unit
- Crystal system: orthorhombic

Cell lengths 3.433, 4.875, 8.407 Å; angles 90.00, 90.00, 90.00 degrees
Atoms (fractional coordinates):
Dy (0.000, 0.500, 0.009)
Dy (0.000, 0.000, 0.493)
Zn (0.500, 0.500, 0.332)
Cd (0.500, 0.000, 0.833)
Cd (0.500, 0.000, 0.173)
Cd (0.500, 0.500, 0.659)



No. 6
The following is a PBE-GGA calculation of a relaxed structure of Li3Np2MoN6, from the Alexandria database.

Values from the calculation:
- Electronic total energy: -101.56 eV for the cell shown
- Formation energy without anion corrections: -0.76 eV per atom
- Crystal system: monoclinic

Cell lengths 5.629, 5.629, 5.412 Å; angles 99.23, 99.23, 120.54 degrees
Atoms (fractional coordinates):
Li (0.147, 0.853, 0.500)
Li (0.853, 0.147, 0.500)
Li (0.500, 0.500, 0.500)
Np (0.333, 0.667, 0.000)
Np (0.667, 0.333, 0.000)
Mo (0.000, 0.000, 0.000)
N (0.929, 0.602, 0.785)
N (0.739, 0.739, 0.220)
N (0.071, 0.398, 0.215)
N (0.602, 0.929, 0.785)
N (0.261, 0.261, 0.780)
N (0.398, 0.071, 0.215)



No. 7
The following is a PBE-GGA calculation of a relaxed structure of TlIr2Os, from the Alexandria database.

Values from the calculation:
- Electronic total energy: -53.50 eV for the cell shown
- Energy above the most stable polymorph in this dataset: 771.3 meV/atom
- E_form: 4.569 eV per formula unit
- Crystal system: tetragonal

Cell lengths 5.932, 5.932, 7.087 Å; angles 65.26, 65.26, 90.00 degrees
Atoms (fractional coordinates):
Tl (0.000, 0.000, 0.000)
Tl (0.750, 0.250, 0.500)
Ir (0.576, 0.125, 0.250)
Ir (0.174, 0.625, 0.250)
Ir (0.375, 0.424, 0.750)
Ir (0.875, 0.826, 0.750)
Os (0.500, 0.500, 0.000)
Os (0.250, 0.750, 0.500)



No. 8
The following is a PBE-GGA calculation of a relaxed structure of Sr2PdC4, from the Alexandria database.

Values from the calculation:
- Electronic total energy: -33.85 eV for the cell shown
- E_form: 11.600 eV per formula unit
- Crystal system: tetragonal

Cell lengths 4.074, 4.074, 7.608 Å; angles 74.47, 74.47, 90.00 degrees
Last column: magnetic moment on the atom in μB.
Atoms (fractional coordinates):
Sr (0.646, 0.646, 0.708)  0.04
Sr (0.354, 0.354, 0.292)  0.04
C (0.841, 0.841, 0.317)  0.60
C (0.159, 0.159, 0.683)  0.60
C (0.000, 0.500, 0.000)  -0.10
C (0.500, 0.000, 0.000)  -0.10
Pd (0.000, 0.000, 0.000)  0.04